# 1
The following is a PBE with a Hubbard U calculation of a relaxed MnCrCuO4 crystal, from the Alexandria database.

```
data_MnCrCuO4
_cell_length_a 5.982
_cell_length_b 6.025
_cell_length_c 8.402
_cell_angle_alpha 90.00
_cell_angle_beta 90.00
_cell_angle_gamma 90.00
_space_group_name_H-M_alt 'I m m a'
_space_group_IT_number 74
_space_group_name_Hall '-I 2b 2'
loop_
_atom_site_label
_atom_site_type_symbol
_atom_site_fract_x
_atom_site_fract_y
_atom_site_fract_z
Mn1 Mn 0.000 0.000 0.000
Cr1 Cr 0.250 0.250 0.250
Cu1 Cu 0.000 0.250 0.626
O1 O 0.000 0.025 0.235
O2 O 0.227 0.250 0.010
```

Output
V	303	Å³/cell
raw total energy	-7.00	eV per atom
magnetization	6.00	μB/f.u.

# 2
The following is a PBE with a Hubbard U calculation of a relaxed Mn3Cr2CuP6O24 crystal, from the Alexandria database.

```
data_Mn3Cr2CuP6O24
_cell_length_a 8.6285
_cell_length_b 8.6285
_cell_length_c 20.3122
_cell_angle_alpha 90.00
_cell_angle_beta 90.00
_cell_angle_gamma 120.00
_space_group_name_H-M_alt 'R 3'
_space_group_IT_number 146
_space_group_name_Hall 'R 3'
loop_
_atom_site_label
_atom_site_type_symbol
_atom_site_fract_x
_atom_site_fract_y
_atom_site_fract_z
Mn1 Mn 0.0000 0.0000 0.0000
Mn2 Mn 0.0000 0.0000 0.2115
Mn3 Mn 0.0000 0.0000 0.7103
Cr1 Cr 0.0000 0.0000 0.3571
Cr2 Cr 0.0000 0.0000 0.8553
Cu1 Cu 0.0000 0.0000 0.5016
P1 P 0.9995 0.2979 0.6049
P2 P 0.0007 0.7027 0.1056
O1 O 0.0058 0.1743 0.2839
O2 O 0.0059 0.2051 0.6675
O3 O 0.0063 0.8007 0.1684
O4 O 0.0093 0.8332 0.7833
O5 O 0.1293 0.4562 0.2080
O6 O 0.1410 0.6797 0.7100
O7 O 0.1662 0.6783 0.0931
O8 O 0.1685 0.4926 0.5951
```

Output
V	1310	Å³/cell
raw total energy	-7.20	eV per atom
magnetization	18.55	μB/f.u.